A plane-wave DFT calculation with PBE was carried out for a geometry-optimized LiGaOsW structure.

## Properties
- symmetry = F-43m
- calculated density (g/cm3) = 13.35
- polymorph energy (0 for the lowest one) (eV/atom) = 0.000

Cell lengths 4.2955, 4.2955, 4.2955 Å; angles 60.00, 60.00, 60.00 degrees
Fractional coordinates of all 4 atoms:
Ga 0.0000 0.0000 0.0000
Li 0.7500 0.7500 0.7500
Os 0.2500 0.2500 0.2500
W 0.5000 0.5000 0.5000